Entry from the Alexandria database: a geometry-optimized KTcPt2 structure (GGA-PBEsol).

Lattice parameters (Å, degrees): 2.6944 4.9165 6.0196 114.10 102.93 90.00
Sites, in units of the cell vectors:
K1 0.2498 0.7498 0.4996
Pt1 0.7575 0.2575 0.5151
Pt2 0.0285 0.0285 0.0570
Tc1 0.4641 0.4641 0.9283

**Spin magnetization**: 0.54 Bohr magnetons per cell
**E above lowest polymorph**: 108 meV per atom
**Fermi-level density of states**: 4.00 states/eV/f.u.
**Space-group type**: Imm2
**ΔH_f (0 K)**: 0.497 eV per atom


Entry from the Alexandria database: a geometry-optimized LaFe3B4O12 structure (GGA-PBEsol).

Lattice parameters (Å, degrees): 6.1197 6.1197 6.1197 104.08 104.08 104.08
Sites, in units of the cell vectors:
Fe1 0.0000 0.4480 0.5520
Fe2 0.4480 0.5520 0.0000
Fe3 0.5520 0.0000 0.4480
O1 0.9690 0.3762 0.2149
O2 0.3563 0.5000 0.6437
O3 0.9121 0.0879 0.5000
O4 0.6437 0.3563 0.5000
O5 0.6238 0.0310 0.7851
O6 0.3762 0.2149 0.9690
O7 0.2149 0.9690 0.3762
O8 0.5000 0.6437 0.3563
O9 0.5000 0.9121 0.0879
O10 0.0310 0.7851 0.6238
O11 0.0879 0.5000 0.9121
O12 0.7851 0.6238 0.0310
B1 0.5000 0.5000 0.5000
B2 0.5000 0.0554 0.9446
B3 0.9446 0.5000 0.0554
B4 0.0554 0.9446 0.5000
La1 0.0000 0.0000 0.0000

**Spin magnetization**: 15.02 Bohr magnetons per cell
**Space-group type**: R32
**Uncorrected formation energy**: -2.086 eV/atom